Record 1
An optimized crystal structure of Rb3FeBr6. Source: the Alexandria database, functional PBE-GGA.

For the energy above the most stable polymorph in this dataset, the calculation gives 0 meV per atom. Its density is 2.8 g cm⁻³.

The space group is Cmc2_1 (No. 36) and the conventional cell measures 13.832, 15.908 and 8.428 Å, with angles of 90.00, 90.00 and 90.00 degrees. Symmetry generates all atoms from Rb at (0.000, 0.065, 0.000), Rb at (0.199, 0.404, 0.092), Fe at (0.000, 0.310, 0.689), Br at (0.000, 0.306, 0.412), Br at (0.000, 0.451, 0.785), Br at (0.137, 0.242, 0.797) and Br at (0.170, 0.042, 0.286).



Record 2
An optimized crystal structure of HfI2F. Source: the Alexandria database, functional PBE-GGA.

For the energy above the most stable polymorph in this dataset, the calculation gives 139 meV per atom. Its density is 6.6 g cm⁻³.

The space group is I-42d (No. 122) and the conventional cell measures 7.408, 7.408 and 8.335 Å, with angles of 90.00, 90.00 and 90.00 degrees. Symmetry generates all atoms from Hf at (0.000, 0.000, 0.000), I at (0.243, 0.750, 0.125) and F at (0.000, 0.000, 0.500).



Record 3
An optimized crystal structure of BiPtN. Source: the Alexandria database, functional PBE-GGA.

For the energy above the most stable polymorph in this dataset, the calculation gives 0 meV per atom. Its density is 7.6 g cm⁻³.

The space group is P2_1/c (No. 14) and the conventional cell measures 11.790, 4.002 and 7.990 Å, with angles of 90.00, 102.93 and 90.00 degrees. Symmetry generates all atoms from Bi at (0.120, 0.250, 0.164), Pt at (0.121, 0.750, 0.415) and N at (0.473, 0.061, 0.442).



Record 4
An optimized crystal structure of CuSe2BrN. Source: the Alexandria database, functional PBE-GGA.

For the energy above the most stable polymorph in this dataset, the calculation gives 123 meV per atom. Its density is 5.5 g cm⁻³.

The space group is P4/mmm (No. 123) and the conventional cell measures 5.166, 5.166 and 3.572 Å, with angles of 90.00, 90.00 and 90.00 degrees. Symmetry generates all atoms from Cu at (0.000, 0.000, 0.000), Se at (0.000, 0.500, 0.000), Br at (0.500, 0.500, 0.500) and N at (0.000, 0.000, 0.500).



Record 5
An optimized crystal structure of TiGaCu. Source: the Alexandria database, functional PBE-GGA.

As for the energy of formation: 0.8 eV/f.u. Its density is 5.7 g cm⁻³.

The space group is F-43m (No. 216) and the conventional cell measures 5.971, 5.971 and 5.971 Å, with angles of 90.00, 90.00 and 90.00 degrees. Symmetry generates all atoms from Ti at (0.000, 0.000, 0.000), Ga at (0.250, 0.250, 0.250) and Cu at (0.250, 0.250, 0.750).



Record 6
An optimized crystal structure of K2PuWN4. Source: the Alexandria database, functional PBE-GGA.

Its density is 5.8 g cm⁻³. The value obtained for the calculated total energy is -134.355 eV/cell.

The space group is Pmn2_1 (No. 31) and the conventional cell measures 7.231, 7.271 and 6.152 Å, with angles of 90.00, 90.00 and 90.00 degrees. Symmetry generates all atoms from K at (0.248, 0.172, 0.000), Pu at (0.000, 0.655, 0.988), W at (0.000, 0.349, 0.481), N at (0.000, 0.412, 0.186), N at (0.000, 0.563, 0.656) and N at (0.222, 0.216, 0.531).



Record 7
An optimized crystal structure of Fe2Co. Source: the Alexandria database, functional PBE-GGA.

As for the energy of formation: 0.7 eV/f.u. Its density is 7.9 g cm⁻³.

The space group is I4_1/amd (No. 141, origin choice 2) and the conventional cell measures 2.483, 2.483 and 23.162 Å, with angles of 90.00, 90.00 and 90.00 degrees. Symmetry generates all atoms from Fe at (0.000, 0.250, 0.297) and Co at (0.000, 0.250, 0.875).



Record 8
An optimized crystal structure of Zr3Al3Zn. Source: the Alexandria database, functional PBE-GGA.

As for the energy of formation: -2.9 eV/f.u. Its density is 5.2 g cm⁻³.

The space group is C2/m (No. 12) and the conventional cell measures 10.948, 3.418 and 14.913 Å, with angles of 90.00, 107.51 and 90.00 degrees. Symmetry generates all atoms from Zr at (0.009, 0.000, 0.131), Zr at (0.130, 0.000, 0.426), Zr at (0.248, 0.500, 0.271), Al at (0.018, 0.500, 0.722), Al at (0.103, 0.500, 0.576), Al at (0.137, 0.500, 0.027) and Zn at (0.210, 0.500, 0.870).



Record 9
An optimized crystal structure of CaTl4Pb2. Source: the Alexandria database, functional PBE-GGA.

As for the energy of formation: -0.3 eV/f.u. For the energy above the most stable polymorph in this dataset, the calculation gives 0 meV per atom. Its density is 9.4 g cm⁻³.

The space group is I4/mmm (No. 139) and the conventional cell measures 8.242, 8.242 and 6.607 Å, with angles of 90.00, 90.00 and 90.00 degrees. Symmetry generates all atoms from Ca at (0.000, 0.000, 0.000), Tl at (0.200, 0.200, 0.500) and Pb at (0.000, 0.500, 0.250).



Record 10
An optimized crystal structure of Pr3AsSeS. Source: the Alexandria database, functional PBE-GGA.

Its density is 4.8 g cm⁻³. The value obtained for the calculated total energy is -71.666 eV/cell.

The space group is P2_1/m (No. 11) and the conventional cell measures 8.521, 4.264 and 12.415 Å, with angles of 90.00, 109.54 and 90.00 degrees. Symmetry generates all atoms from Pr at (0.036, 0.250, 0.378), Pr at (0.187, 0.750, 0.121), Pr at (0.306, 0.250, 0.871), As at (0.058, 0.750, 0.872), Se at (0.443, 0.250, 0.135) and S at (0.173, 0.250, 0.621).



Record 11
An optimized crystal structure of Ti4Co5Mo. Source: the Alexandria database, functional PBE-GGA.

As for the energy of formation: -2.7 eV/f.u. Its density is 7.4 g cm⁻³.

The space group is P4/mmm (No. 123) and the conventional cell measures 2.864, 2.864 and 15.953 Å, with angles of 90.00, 90.00 and 90.00 degrees. Symmetry generates all atoms from Ti at (0.000, 0.000, 0.099), Ti at (0.000, 0.000, 0.296), Co at (0.500, 0.500, 0.000), Co at (0.500, 0.500, 0.200), Co at (0.500, 0.500, 0.390) and Mo at (0.000, 0.000, 0.500).



Record 12
An optimized crystal structure of Er5ThIr6. Source: the Alexandria database, functional PBE-GGA.

As for the energy of formation: -10.4 eV/f.u. Its density is 15.2 g cm⁻³.

The space group is Cmmm (No. 65) and the conventional cell measures 4.780, 14.334 and 7.085 Å, with angles of 90.00, 90.00 and 90.00 degrees. Symmetry generates all atoms from Er at (0.000, 0.000, 0.000), Er at (0.000, 0.329, 0.500), Er at (0.000, 0.332, 0.000), Th at (0.000, 0.000, 0.500), Ir at (0.000, 0.166, 0.248) and Ir at (0.000, 0.500, 0.246).



Record 13
An optimized crystal structure of CrPdPtAu. Source: the Alexandria database, functional PBE-GGA.

As for the energy of formation: 0.0 eV/f.u. Its density is 14.3 g cm⁻³.

The space group is F-43m (No. 216) and the conventional cell measures 6.349, 6.349 and 6.349 Å, with angles of 90.00, 90.00 and 90.00 degrees. Symmetry generates all atoms from Cr at (0.000, 0.000, 0.000), Pd at (0.250, 0.250, 0.750), Pt at (0.250, 0.250, 0.250) and Au at (0.000, 0.000, 0.500).



Record 14
An optimized crystal structure of MgSnPb3. Source: the Alexandria database, functional PBE-GGA.

As for the energy of formation: 0.4 eV/f.u. For the energy above the most stable polymorph in this dataset, the calculation gives 59 meV per atom. Its density is 8.1 g cm⁻³.

The space group is P-1 (No. 2) and the conventional cell measures 6.625, 6.810 and 8.626 Å, with angles of 80.14, 67.59 and 61.14 degrees. Symmetry generates all atoms from Mg at (0.025, 0.220, 0.226), Sn at (0.000, 0.500, 0.500), Sn at (0.500, 0.500, 0.500), Pb at (0.065, 0.737, 0.139), Pb at (0.436, 0.266, 0.861) and Pb at (0.472, 0.792, 0.769).



Record 15
An optimized crystal structure of BaGaPb3. Source: the Alexandria database, functional PBE-GGA.

As for the energy of formation: 4.4 eV/f.u. For the energy above the most stable polymorph in this dataset, the calculation gives 1120 meV per atom. Its density is 5.4 g cm⁻³.

The space group is Pm-3m (No. 221) and the conventional cell measures 6.337, 6.337 and 6.337 Å, with angles of 90.00, 90.00 and 90.00 degrees. Symmetry generates all atoms from Ba at (0.000, 0.000, 0.000), Ga at (0.500, 0.500, 0.500) and Pb at (0.000, 0.000, 0.500).



Record 16
An optimized crystal structure of CeTl. Source: the Alexandria database, functional PBE-GGA.

As for the energy of formation: -0.5 eV/f.u. Its density is 10.1 g cm⁻³.

The space group is P4/mmm (No. 123) and the conventional cell measures 3.472, 3.472 and 4.710 Å, with angles of 90.00, 90.00 and 90.00 degrees. Symmetry generates all atoms from Ce at (0.000, 0.000, 0.000) and Tl at (0.500, 0.500, 0.500).



Record 17
An optimized crystal structure of AcLaPr2. Source: the Alexandria database, functional PBE-GGA.

As for the energy of formation: 0.4 eV/f.u. For the energy above the most stable polymorph in this dataset, the calculation gives 94 meV per atom. Its density is 7.0 g cm⁻³.

The space group is Immm (No. 71) and the conventional cell measures 3.823, 6.337 and 12.692 Å, with angles of 90.00, 90.00 and 90.00 degrees. Symmetry generates all atoms from Ac at (0.000, 0.000, 0.000), La at (0.000, 0.000, 0.500) and Pr at (0.000, 0.500, 0.243).



Record 18
An optimized crystal structure of CdTe2HI. Source: the Alexandria database, functional PBE-GGA.

For the energy above the most stable polymorph in this dataset, the calculation gives 545 meV per atom. Its density is 4.1 g cm⁻³.

The space group is P4/mmm (No. 123) and the conventional cell measures 5.723, 5.723 and 6.117 Å, with angles of 90.00, 90.00 and 90.00 degrees. Symmetry generates all atoms from Cd at (0.000, 0.000, 0.000), Te at (0.000, 0.500, 0.000), H at (0.500, 0.500, 0.500) and I at (0.000, 0.000, 0.500).



Record 19
An optimized crystal structure of HgBiAu. Source: the Alexandria database, functional PBE-GGA.

As for the energy of formation: 0.2 eV/f.u. Its density is 13.1 g cm⁻³.

The space group is C2 (No. 5) and the conventional cell measures 7.139, 6.398 and 6.993 Å, with angles of 90.00, 105.45 and 90.00 degrees. Symmetry generates all atoms from Hg at (0.088, 0.000, 0.316), Bi at (0.080, 0.498, 0.269) and Au at (0.246, 0.754, 0.000).



Record 20
An optimized crystal structure of Sm12InCu5. Source: the Alexandria database, functional PBE-GGA.

As for the energy of formation: -2.8 eV/f.u. Its density is 7.5 g cm⁻³.

The space group is Immm (No. 71) and the conventional cell measures 9.561, 9.874 and 10.439 Å, with angles of 90.00, 90.00 and 90.00 degrees. Symmetry generates all atoms from Sm at (0.000, 0.189, 0.232), Sm at (0.195, 0.500, 0.179), Sm at (0.220, 0.320, 0.500), In at (0.000, 0.000, 0.500), Cu at (0.000, 0.000, 0.000), Cu at (0.000, 0.356, 0.000) and Cu at (0.000, 0.500, 0.382).